1.
A relaxed ZnSiP crystal. Source: Alexandria, functional PBE-GGA.

extended XYZ file:
```
6
Lattice="3.9858 0.0000 0.0000 1.4550 5.1172 0.0000 1.3869 1.8884 5.1215" Properties=species:S:1:pos:R:3 pbc="T T T"
Zn 0.7280 1.1323 0.2157
Zn 6.0997 5.8733 4.9058
Si 3.2263 5.2706 2.7691
Si 3.6015 1.7350 2.3524
P 2.7850 3.7438 1.1188
P 4.0428 3.2618 4.0027
```

**Space-group type**: No. 2
**Crystal system**: triclinic
**Total magnetization**: 0.0 μB per formula unit
**VASP energy**: -3.966 eV/atom
**Relative energy among the computed polymorphs**: 0.205 eV per atom

=====

2.
A relaxed Ho2TmSe2S2 crystal. Source: Alexandria, functional PBE-GGA.

extended XYZ file:
```
7
Lattice="-2.5042 2.5042 7.1795 2.5042 -2.5042 7.1795 2.5042 2.5042 -7.1795" Properties=species:S:1:pos:R:3 pbc="T T T"
Ho 0.0000 0.0000 1.7164
Ho 0.0000 0.0000 12.6426
Tm 0.0000 0.0000 7.1795
Se 0.0000 0.0000 4.4533
Se 0.0000 0.0000 9.9057
S 2.5042 0.0000 0.0000
S 0.0000 2.5042 0.0000
```

**Space-group type**: No. 139
**Crystal system**: tetragonal
**Total magnetization**: 0.1 μB per formula unit
**VASP energy**: -5.606 eV/atom